No. 1
A geometry-optimized NaBN3 structure, computed with PBE.

## Properties
The calculation puts the density of states at the Fermi level at 0.79 states/eV/atom. The total energy comes out at -14.93 eV per formula unit. As for the raw formation energy: 3.6081 eV/atom. As for the magnetization: 1.40 μB/atom.

Unit cell a=4.3605 b=4.3605 c=4.3605 alpha=90.00 beta=90.00 gamma=90.00
Sites, in units of the cell vectors:
N 0.0000 0.5000 0.0000
N 0.0000 0.0000 0.5000
Na 0.0000 0.0000 0.0000
B 0.5000 0.5000 0.5000
N 0.5000 0.0000 0.0000

No. 2
A geometry-optimized Na3BN2 structure, computed with PBE.

## Properties
The total energy comes out at -29.35 eV per formula unit. As for the raw formation energy: -0.3443 eV/atom. As for the magnetization: 0.00 μB/atom.

Unit cell a=5.2574 b=6.5739 c=6.5601 alpha=120.07 beta=113.62 gamma=90.00
Sites, in units of the cell vectors:
N 0.2836 0.5926 0.1852
Na 0.2212 0.9712 0.4424
Na 0.5000 0.7500 0.0000
Na 0.5000 0.2500 0.0000
B 0.0000 0.5000 0.0000
N 0.7164 0.4074 0.8148
Na 0.7788 0.0288 0.5576
N 0.9015 0.0926 0.1852
N 0.0985 0.9074 0.8148
Na 0.2212 0.4712 0.4424
Na 0.7788 0.5288 0.5576
B 0.0000 0.0000 0.0000

No. 3
A geometry-optimized NaBN2 structure, computed with PBE.

## Properties
The total energy comes out at -24.82 eV per formula unit. As for the raw formation energy: -0.0438 eV/atom. As for the magnetization: 0.00 μB/atom.

Unit cell a=4.1066 b=4.1066 c=5.3243 alpha=67.32 beta=67.32 gamma=90.00
Sites, in units of the cell vectors:
Na 0.0000 0.0000 0.0000
N 0.8750 0.6813 0.7500
N 0.3187 0.6250 0.2500
B 0.2500 0.7500 0.5000
N 0.4313 0.1250 0.2500
Na 0.7500 0.2500 0.5000
N 0.3750 0.5687 0.7500
B 0.5000 0.5000 0.0000

No. 4
A geometry-optimized Na4BN2 structure, computed with PBE.

## Properties
The calculation puts the density of states at the Fermi level at 0.18 states/eV/atom. The total energy comes out at -30.43 eV per formula unit. As for the raw formation energy: -0.2607 eV/atom. As for the magnetization: 0.02 μB/atom.

Unit cell a=4.6167 b=4.6167 c=6.7477 alpha=70.00 beta=70.00 gamma=60.00
Sites, in units of the cell vectors:
B 0.0000 0.0000 0.0000
Na 0.6107 0.6107 0.1679
Na 0.3893 0.3893 0.8321
Na 0.2030 0.2030 0.3911
Na 0.7970 0.7970 0.6089
N 0.9265 0.9265 0.2206
N 0.0735 0.0735 0.7794

No. 5
A geometry-optimized NaBN2 structure, computed with PBE.

## Properties
The calculation puts the density of states at the Fermi level at 0.27 states/eV/atom. The total energy comes out at -23.94 eV per formula unit. As for the raw formation energy: 0.1768 eV/atom. As for the magnetization: 0.00 μB/atom.

Unit cell a=3.6410 b=5.1159 c=5.9127 alpha=90.00 beta=90.00 gamma=90.00
Sites, in units of the cell vectors:
N 0.5000 0.3474 0.0218
N 0.5000 0.6526 0.5218
N 0.5000 0.6526 0.9782
N 0.5000 0.3474 0.4782
Na 0.0000 0.7700 0.2500
B 0.5000 0.3334 0.2500
Na 0.0000 0.2300 0.7500
B 0.5000 0.6666 0.7500

No. 6
A geometry-optimized NaB3N3 structure, computed with PBE.

## Properties
The calculation puts the density of states at the Fermi level at 0.23 states/eV/atom. The total energy comes out at -47.52 eV per formula unit. As for the raw formation energy: -0.1711 eV/atom. As for the magnetization: 0.00 μB/atom.

Unit cell a=4.6427 b=4.6427 c=4.6427 alpha=90.00 beta=90.00 gamma=90.00
Sites, in units of the cell vectors:
Na 0.0000 0.0000 0.0000
B 0.2500 0.0000 0.5000
N 0.2500 0.5000 0.0000
B 0.0000 0.5000 0.7500
B 0.0000 0.5000 0.2500
B 0.5000 0.7500 0.0000
Na 0.5000 0.5000 0.5000
B 0.7500 0.0000 0.5000
N 0.7500 0.5000 0.0000
N 0.0000 0.2500 0.5000
N 0.0000 0.7500 0.5000
N 0.5000 0.0000 0.7500
B 0.5000 0.2500 0.0000
N 0.5000 0.0000 0.2500

No. 7
A geometry-optimized Na2BN3 structure, computed with PBE.

## Properties
The calculation puts the density of states at the Fermi level at 0.25 states/eV/atom. The total energy comes out at -31.46 eV per formula unit. As for the raw formation energy: 0.4720 eV/atom. As for the magnetization: 0.33 μB/atom.

Unit cell a=5.8228 b=5.8228 c=5.9939 alpha=90.00 beta=90.00 gamma=120.00
Sites, in units of the cell vectors:
Na 0.0000 0.0000 0.0000
N 0.8069 0.1931 0.7499
Na 0.3333 0.6667 0.7492
Na 0.0000 0.0000 0.5000
B 0.3333 0.6667 0.2498
N 0.1931 0.3861 0.2501
N 0.6139 0.8069 0.2501
N 0.8069 0.6139 0.7499
N 0.1931 0.8069 0.2501
Na 0.6667 0.3333 0.2508
B 0.6667 0.3333 0.7502
N 0.3861 0.1931 0.7499

No. 8
A geometry-optimized NaBN3 structure, computed with PBE.

## Properties
The calculation puts the density of states at the Fermi level at 0.68 states/eV/atom. The total energy comes out at -25.78 eV per formula unit. As for the raw formation energy: 1.4384 eV/atom. As for the magnetization: 0.00 μB/atom.

Unit cell a=3.4116 b=3.4116 c=3.4116 alpha=90.00 beta=90.00 gamma=90.00
Sites, in units of the cell vectors:
N 0.0000 0.0000 0.5000
B 0.0000 0.0000 0.0000
N 0.0000 0.5000 0.0000
N 0.5000 0.0000 0.0000
Na 0.5000 0.5000 0.5000

No. 9
A geometry-optimized NaBN2O structure, computed with PBE.

## Properties
The calculation puts the density of states at the Fermi level at 0.46 states/eV/atom. The total energy comes out at -15.46 eV per formula unit. As for the raw formation energy: 2.8283 eV/atom. As for the magnetization: 1.20 μB/atom.

Unit cell a=4.5152 b=4.5152 c=4.2662 alpha=90.00 beta=90.00 gamma=90.00
Sites, in units of the cell vectors:
N 0.5000 0.0000 0.0000
O 0.0000 0.0000 0.5000
Na 0.0000 0.0000 0.0000
N 0.0000 0.5000 0.0000
B 0.5000 0.5000 0.5000

No. 10
A geometry-optimized NaBN2O structure, computed with PBE.

## Properties
The calculation puts the density of states at the Fermi level at 0.50 states/eV/atom. The total energy comes out at -26.47 eV per formula unit. As for the raw formation energy: 0.6264 eV/atom. As for the magnetization: 0.39 μB/atom.

Unit cell a=3.1663 b=3.1663 c=4.5359 alpha=90.00 beta=90.00 gamma=90.00
Sites, in units of the cell vectors:
N 0.5000 0.0000 0.0000
B 0.0000 0.0000 0.0000
Na 0.5000 0.5000 0.5000
N 0.0000 0.5000 0.0000
O 0.0000 0.0000 0.5000

No. 11
A geometry-optimized Na2BNO structure, computed with PBE.

## Properties
The calculation puts the density of states at the Fermi level at 0.09 states/eV/atom. The total energy comes out at -26.40 eV per formula unit. As for the raw formation energy: -0.7598 eV/atom. As for the magnetization: 0.03 μB/atom.

Unit cell a=2.7334 b=5.5609 c=8.3659 alpha=111.33 beta=90.00 gamma=90.00
Sites, in units of the cell vectors:
B 0.2500 0.4732 0.7357
O 0.2500 0.6968 0.3112
N 0.7500 0.2676 0.1938
N 0.2500 0.7324 0.8062
Na 0.2500 0.1902 0.9514
Na 0.7500 0.8298 0.6105
Na 0.7500 0.8098 0.0486
Na 0.2500 0.1702 0.3895
B 0.7500 0.5268 0.2643
O 0.7500 0.3032 0.6888

No. 12
A geometry-optimized NaPmBN2 structure, computed with PBE.

## Properties
The calculation puts the density of states at the Fermi level at 0.16 states/eV/atom. The total energy comes out at -33.32 eV per formula unit. As for the raw formation energy: -0.7836 eV/atom. As for the magnetization: 0.00 μB/atom.

Unit cell a=4.1824 b=5.8249 c=7.2746 alpha=100.18 beta=90.00 gamma=90.00
Sites, in units of the cell vectors:
N 0.9994 0.2149 0.4560
Pm 0.0004 0.5000 0.7500
N 0.0006 0.7851 0.5440
Pm 0.9996 0.5000 0.2500
B 0.0000 0.0000 0.5000
B 0.0000 0.0000 0.0000
N 0.0006 0.2149 0.9560
N 0.9994 0.7851 0.0440
Na 0.5002 0.0000 0.7500
Na 0.4998 0.0000 0.2500